First-principles (PBE-GGA) data for a relaxed ReAu2Br crystal, as listed in the Alexandria database.

Cell: 3.008 3.008 10.234 Å, 90.00 90.00 121.99°
Sites, in units of the cell vectors:
Re 0.500 0.500 0.750
Au 0.000 0.000 0.979
Au 0.500 0.500 0.223
Br 0.000 0.000 0.547

Output
Space-group type: Cmm2, No. 35
ΔE to the lowest computed polymorph: 0.1388 eV/atom
Energy relative to the elements, uncorrected: 0.6455 eV per atom
Density of states at the Fermi level: 0.64 states/eV per atom

=====

First-principles (PBE-GGA) data for a relaxed Mn2V5FeRu2 crystal, as listed in the Alexandria database.

Cell: 2.908 9.455 9.455 Å, 90.00 90.00 90.00°
Sites, in units of the cell vectors:
Mn 0.000 0.134 0.634
Mn 0.000 0.866 0.366
Mn 0.000 0.634 0.866
Mn 0.000 0.366 0.134
V 0.500 0.196 0.055
V 0.500 0.804 0.945
V 0.500 0.055 0.804
V 0.500 0.696 0.445
V 0.500 0.945 0.196
V 0.500 0.304 0.555
V 0.500 0.555 0.696
V 0.500 0.445 0.304
V 0.500 0.500 0.000
V 0.500 0.000 0.500
Fe 0.000 0.000 0.000
Fe 0.000 0.500 0.500
Ru 0.000 0.669 0.169
Ru 0.000 0.331 0.831
Ru 0.000 0.169 0.331
Ru 0.000 0.831 0.669

Output
Space-group type: P4/mbm, No. 127
Calculated formation energy: 8.5 kJ per mole of atoms
Density of states at the Fermi level: 1.20 states/eV per atom

=====

First-principles (PBE-GGA) data for a relaxed AlNiPd2Rh crystal, as listed in the Alexandria database.

Cell: 4.486 4.465 4.486 Å, 90.00 90.00 90.00°
Sites, in units of the cell vectors:
Ni 0.500 0.500 0.500
Rh 0.000 0.500 0.000
Al 0.000 0.000 0.000
Pd 0.000 0.000 0.500
Pd 0.500 0.000 0.000

Output
Space-group type: P4/mmm, No. 123
Calculated formation energy: 57.9 kJ per mole of atoms
Density of states at the Fermi level: 2.08 states/eV per atom

=====

First-principles (PBE-GGA) data for a relaxed Sc2NiB crystal, as listed in the Alexandria database.

Cell: 6.580 6.580 5.575 Å, 53.83 53.83 90.00°
Sites, in units of the cell vectors:
Sc 0.598 0.125 0.250
Sc 0.152 0.625 0.250
Sc 0.375 0.402 0.750
Sc 0.875 0.848 0.750
Ni 0.000 0.000 0.000
Ni 0.750 0.250 0.500
B 0.500 0.500 0.000
B 0.250 0.750 0.500

Output
Space-group type: I-42d, No. 122
Calculated formation energy: 20.6 kJ per mole of atoms
Density of states at the Fermi level: 1.31 states/eV per atom

=====

First-principles (PBE-GGA) data for a relaxed SiAsRh2 crystal, as listed in the Alexandria database.

Cell: 4.387 4.387 4.387 Å, 60.00 60.00 60.00°
Sites, in units of the cell vectors:
As 0.500 0.500 0.500
Rh 0.000 0.000 0.000
Rh 0.250 0.250 0.250
Si 0.750 0.750 0.750

Output
Space-group type: F-43m, No. 216
Energy relative to the elements, uncorrected: 0.0788 eV per atom
Density of states at the Fermi level: 0.78 states/eV per atom

=====

First-principles (PBE-GGA) data for a relaxed YHfS2 crystal, as listed in the Alexandria database.

Cell: 5.871 5.871 7.252 Å, 66.12 66.12 90.00°
Sites, in units of the cell vectors:
Y 0.500 0.500 0.000
Y 0.250 0.750 0.500
S 0.653 0.125 0.250
S 0.097 0.625 0.250
S 0.375 0.347 0.750
S 0.875 0.903 0.750
Hf 0.000 0.000 0.000
Hf 0.750 0.250 0.500

Output
Space-group type: I-42d, No. 122
ΔE to the lowest computed polymorph: 0.3832 eV/atom
Energy relative to the elements, uncorrected: -1.1661 eV per atom
Density of states at the Fermi level: 0.82 states/eV per atom

=====

First-principles (PBE-GGA) data for a relaxed Cs2SnS3 crystal, as listed in the Alexandria database.

Cell: 7.315 8.364 16.675 Å, 89.94 89.87 64.07°
Sites, in units of the cell vectors:
Cs 0.549 0.401 0.355
Cs 0.050 0.401 0.145
Cs 0.451 0.599 0.645
Cs 0.950 0.599 0.855
Cs 0.363 0.775 0.064
Cs 0.862 0.775 0.436
Cs 0.637 0.225 0.936
Cs 0.138 0.225 0.564
Sn 0.748 0.005 0.168
Sn 0.247 0.005 0.332
Sn 0.252 0.995 0.832
Sn 0.753 0.995 0.668
S 0.566 0.867 0.250
S 0.434 0.133 0.750
S 0.592 0.315 0.150
S 0.092 0.315 0.350
S 0.408 0.685 0.850
S 0.908 0.685 0.650
S 0.662 0.177 0.552
S 0.161 0.177 0.948
S 0.338 0.823 0.448
S 0.839 0.823 0.052
S 0.066 0.868 0.250
S 0.934 0.132 0.750

Output
Space-group type: C2/c, No. 15
Energy relative to the elements, uncorrected: -0.9468 eV per atom
Density of states at the Fermi level: 0.00 states/eV per atom

=====

First-principles (PBE-GGA) data for a relaxed Ca2TbCeAs4 crystal, as listed in the Alexandria database.

Cell: 4.229 7.313 7.272 Å, 109.71 90.00 90.00°
Sites, in units of the cell vectors:
Ca 0.500 0.000 0.500
Ca 0.000 0.500 0.500
Tb 0.500 0.500 0.000
Ce 0.000 0.000 0.000
As 0.500 0.245 0.236
As 0.500 0.755 0.764
As 0.000 0.254 0.763
As 0.000 0.746 0.237

Output
Space-group type: P2/m, No. 10
Calculated formation energy: -120.3 kJ per mole of atoms
Density of states at the Fermi level: 0.93 states/eV per atom